# 1
# ErNbZnRu PBE relaxed
# DOS at the Fermi energy = 9.11 states/eV per cell
# Raw total energy = -0.237 Ha/atom
# ΔE_f = -148 meV/atom
data_ErNbZnRu
_symmetry_space_group_name_H-M 'F -4 3 m'
_symmetry_Int_Tables_number 216
_symmetry_space_group_name_Hall 'F -4 2 3'
_cell_length_a 6.619
_cell_length_b 6.619
_cell_length_c 6.619
_cell_angle_alpha 90.00
_cell_angle_beta 90.00
_cell_angle_gamma 90.00
loop_
_atom_site_label
_atom_site_type_symbol
_atom_site_fract_x
_atom_site_fract_y
_atom_site_fract_z
Er1 Er 0.000 0.000 0.000
Nb1 Nb 0.000 0.000 0.500
Zn1 Zn 0.250 0.250 0.250
Ru1 Ru 0.250 0.250 0.750

# 2
# LiCu4Pd7 PBE relaxed
# DOS at the Fermi energy = 11.69 states/eV per cell
# Raw total energy = -0.170 Ha/atom
# ΔE_f = -78 meV/atom
# Energy above the lowest structure with this stoichiometry = 0 meV/atom
data_LiCu4Pd7
_symmetry_space_group_name_H-M 'P -1'
_symmetry_Int_Tables_number 2
_cell_length_a 4.527
_cell_length_b 4.936
_cell_length_c 7.777
_cell_angle_alpha 100.00
_cell_angle_beta 92.89
_cell_angle_gamma 90.52
loop_
_symmetry_equiv_pos_as_xyz
'x,y,z'
'-x,-y,-z'
loop_
_atom_site_label
_atom_site_type_symbol
_atom_site_fract_x
_atom_site_fract_y
_atom_site_fract_z
Li1 Li 0.000 0.000 0.000
Cu1 Cu 0.232 0.629 0.773
Cu2 Cu 0.257 0.136 0.690
Pd1 Pd 0.238 0.662 0.457
Pd2 Pd 0.250 0.128 0.322
Pd3 Pd 0.261 0.545 0.106
Pd4 Pd 0.500 0.000 0.000

# 3
# Os2RhBr PBE relaxed
# DOS at the Fermi energy = 3.93 states/eV per cell
# Raw total energy = -0.261 Ha/atom
# Energy above the lowest structure with this stoichiometry = 166 meV/atom
data_Os2RhBr
_symmetry_space_group_name_H-M 'P m m 2'
_symmetry_Int_Tables_number 25
_cell_length_a 2.806
_cell_length_b 3.543
_cell_length_c 7.023
_cell_angle_alpha 90.00
_cell_angle_beta 90.00
_cell_angle_gamma 90.00
loop_
_symmetry_equiv_pos_as_xyz
'x,y,z'
'-x,-y,z'
'-x,y,z'
'x,-y,z'
loop_
_atom_site_label
_atom_site_type_symbol
_atom_site_fract_x
_atom_site_fract_y
_atom_site_fract_z
Os1 Os 0.000 0.000 0.000
Os2 Os 0.500 0.500 0.177
Rh1 Rh 0.000 0.000 0.388
Br1 Br 0.500 0.500 0.676

# 4
# Sm2CdGa2Pt5 PBE relaxed
# DOS at the Fermi energy = 8.55 states/eV per cell
# Raw total energy = -0.200 Ha/atom
# ΔE_f = -791 meV/atom
data_Sm2CdGa2Pt5
_symmetry_space_group_name_H-M 'P 4/m b m'
_symmetry_Int_Tables_number 127
_symmetry_space_group_name_Hall '-P 4 2ab'
_cell_length_a 9.877
_cell_length_b 9.877
_cell_length_c 3.855
_cell_angle_alpha 90.00
_cell_angle_beta 90.00
_cell_angle_gamma 90.00
loop_
_atom_site_label
_atom_site_type_symbol
_atom_site_fract_x
_atom_site_fract_y
_atom_site_fract_z
Sm1 Sm 0.177 0.323 0.000
Cd1 Cd 0.000 0.000 0.000
Ga1 Ga 0.121 0.621 0.000
Pt1 Pt 0.000 0.500 0.500
Pt2 Pt 0.065 0.788 0.500

# 5
# CaMn3P2 PBE relaxed
# DOS at the Fermi energy = 21.16 states/eV per cell
# Raw total energy = -0.269 Ha/atom
# ΔE_f = -600 meV/atom
data_CaMn3P2
_symmetry_space_group_name_H-M 'C 1 2/m 1'
_symmetry_Int_Tables_number 12
_cell_length_a 14.758
_cell_length_b 3.745
_cell_length_c 7.004
_cell_angle_alpha 90.00
_cell_angle_beta 115.11
_cell_angle_gamma 90.00
loop_
_symmetry_equiv_pos_as_xyz
'x,y,z'
'-x,-y,-z'
'-x,y,-z'
'x,-y,z'
'x+1/2,y+1/2,z'
'-x+1/2,-y+1/2,-z'
'-x+1/2,y+1/2,-z'
'x+1/2,-y+1/2,z'
loop_
_atom_site_label
_atom_site_type_symbol
_atom_site_fract_x
_atom_site_fract_y
_atom_site_fract_z
Ca1 Ca 0.147 0.000 0.057
Mn1 Mn 0.045 0.000 0.395
Mn2 Mn 0.082 0.500 0.640
Mn3 Mn 0.185 0.500 0.451
P1 P 0.022 0.500 0.193
P2 P 0.193 0.000 0.677

# 6
# TaPdN2 PBE relaxed
# DOS at the Fermi energy = 12.75 states/eV per cell
# Raw total energy = -0.293 Ha/atom
# Energy above the lowest structure with this stoichiometry = 891 meV/atom
data_TaPdN2
_symmetry_space_group_name_H-M 'F m -3 m'
_symmetry_Int_Tables_number 225
_symmetry_space_group_name_Hall '-F 4 2 3'
_cell_length_a 5.525
_cell_length_b 5.525
_cell_length_c 5.525
_cell_angle_alpha 90.00
_cell_angle_beta 90.00
_cell_angle_gamma 90.00
loop_
_atom_site_label
_atom_site_type_symbol
_atom_site_fract_x
_atom_site_fract_y
_atom_site_fract_z
Ta1 Ta 0.000 0.000 0.000
Pd1 Pd 0.000 0.000 0.500
N1 N 0.250 0.250 0.250

# 7
# CaSc2AlAu4 PBE relaxed
# DOS at the Fermi energy = 11.52 states/eV per cell
# Raw total energy = -0.171 Ha/atom
# ΔE_f = -715 meV/atom
data_CaSc2AlAu4
_symmetry_space_group_name_H-M 'R -3 m'
_symmetry_Int_Tables_number 166
_symmetry_space_group_name_Hall '-R 3 2"'
_cell_length_a 4.7278
_cell_length_b 4.7278
_cell_length_c 24.8366
_cell_angle_alpha 90.00
_cell_angle_beta 90.00
_cell_angle_gamma 120.00
loop_
_atom_site_label
_atom_site_type_symbol
_atom_site_fract_x
_atom_site_fract_y
_atom_site_fract_z
Ca1 Ca 0.0000 0.0000 0.0000
Sc1 Sc 0.0000 0.0000 0.2438
Al1 Al 0.0000 0.0000 0.5000
Au1 Au 0.0000 0.0000 0.1274
Au2 Au 0.0000 0.0000 0.3924

# 8
# Sm6IrPd5 PBE relaxed
# DOS at the Fermi energy = 16.52 states/eV per cell
# Raw total energy = -0.222 Ha/atom
# ΔE_f = -786 meV/atom
data_Sm6IrPd5
_symmetry_space_group_name_H-M 'C 1 2/m 1'
_symmetry_Int_Tables_number 12
_cell_length_a 8.730
_cell_length_b 15.147
_cell_length_c 5.047
_cell_angle_alpha 90.00
_cell_angle_beta 125.23
_cell_angle_gamma 90.00
loop_
_symmetry_equiv_pos_as_xyz
'x,y,z'
'-x,-y,-z'
'-x,y,-z'
'x,-y,z'
'x+1/2,y+1/2,z'
'-x+1/2,-y+1/2,-z'
'-x+1/2,y+1/2,-z'
'x+1/2,-y+1/2,z'
loop_
_atom_site_label
_atom_site_type_symbol
_atom_site_fract_x
_atom_site_fract_y
_atom_site_fract_z
Sm1 Sm 0.243 0.000 0.243
Sm2 Sm 0.246 0.163 0.747
Ir1 Ir 0.000 0.000 0.500
Pd1 Pd 0.000 0.170 0.000
Pd2 Pd 0.000 0.333 0.500
Pd3 Pd 0.000 0.500 0.000

# 9
# Rb4Ac3MnS8 PBE relaxed
# DOS at the Fermi energy = 3.68 states/eV per cell
# Raw total energy = -0.190 Ha/atom
data_Rb4Ac3MnS8
_symmetry_space_group_name_H-M 'C 1 2/m 1'
_symmetry_Int_Tables_number 12
_cell_length_a 14.813
_cell_length_b 8.669
_cell_length_c 9.173
_cell_angle_alpha 90.00
_cell_angle_beta 122.44
_cell_angle_gamma 90.00
loop_
_symmetry_equiv_pos_as_xyz
'x,y,z'
'-x,-y,-z'
'-x,y,-z'
'x,-y,z'
'x+1/2,y+1/2,z'
'-x+1/2,-y+1/2,-z'
'-x+1/2,y+1/2,-z'
'x+1/2,-y+1/2,z'
loop_
_atom_site_label
_atom_site_type_symbol
_atom_site_fract_x
_atom_site_fract_y
_atom_site_fract_z
Rb1 Rb 0.000 0.000 0.000
Rb2 Rb 0.000 0.500 0.000
Rb3 Rb 0.250 0.250 0.000
Ac1 Ac 0.000 0.000 0.500
Ac2 Ac 0.250 0.250 0.500
Mn1 Mn 0.000 0.500 0.500
S1 S 0.013 0.262 0.299
S2 S 0.195 0.500 0.674
S3 S 0.238 0.000 0.709

# 10
# Sc3SbAs2 PBE relaxed
# DOS at the Fermi energy = 11.28 states/eV per cell
# Raw total energy = -0.228 Ha/atom
data_Sc3SbAs2
_symmetry_space_group_name_H-M 'C m c m'
_symmetry_Int_Tables_number 63
_symmetry_space_group_name_Hall '-C 2c 2'
_cell_length_a 4.854
_cell_length_b 11.661
_cell_length_c 9.305
_cell_angle_alpha 90.00
_cell_angle_beta 90.00
_cell_angle_gamma 90.00
loop_
_atom_site_label
_atom_site_type_symbol
_atom_site_fract_x
_atom_site_fract_y
_atom_site_fract_z
Sc1 Sc 0.000 0.109 0.250
Sc2 Sc 0.000 0.371 0.043
Sb1 Sb 0.000 0.217 0.750
As1 As 0.000 0.000 0.000
As2 As 0.000 0.467 0.750

# 11
# Mg2ZrSiN4 PBE relaxed
# DOS at the Fermi energy = 0.00 states/eV per cell
# Raw total energy = -0.274 Ha/atom
data_Mg2ZrSiN4
_symmetry_space_group_name_H-M 'P m n 21'
_symmetry_Int_Tables_number 31
_cell_length_a 6.657
_cell_length_b 5.819
_cell_length_c 5.179
_cell_angle_alpha 90.00
_cell_angle_beta 90.00
_cell_angle_gamma 90.00
loop_
_symmetry_equiv_pos_as_xyz
'x,y,z'
'-x+1/2,-y,z+1/2'
'-x,y,z'
'x+1/2,-y,z+1/2'
loop_
_atom_site_label
_atom_site_type_symbol
_atom_site_fract_x
_atom_site_fract_y
_atom_site_fract_z
Mg1 Mg 0.248 0.165 0.000
Zr1 Zr 0.000 0.350 0.500
Si1 Si 0.000 0.675 0.011
N1 N 0.000 0.382 0.906
N2 N 0.000 0.677 0.351
N3 N 0.224 0.814 0.910

# 12
# Tb4Cd5Ru2 PBE relaxed
# DOS at the Fermi energy = 7.40 states/eV per cell
# Raw total energy = -0.150 Ha/atom
# ΔE_f = -306 meV/atom
data_Tb4Cd5Ru2
_symmetry_space_group_name_H-M 'P 1 2/m 1'
_symmetry_Int_Tables_number 10
_cell_length_a 7.742
_cell_length_b 3.555
_cell_length_c 9.718
_cell_angle_alpha 90.00
_cell_angle_beta 94.84
_cell_angle_gamma 90.00
loop_
_symmetry_equiv_pos_as_xyz
'x,y,z'
'-x,-y,-z'
'-x,y,-z'
'x,-y,z'
loop_
_atom_site_label
_atom_site_type_symbol
_atom_site_fract_x
_atom_site_fract_y
_atom_site_fract_z
Tb1 Tb 0.166 0.000 0.355
Tb2 Tb 0.214 0.000 0.949
Cd1 Cd 0.191 0.500 0.658
Cd2 Cd 0.450 0.500 0.180
Cd3 Cd 0.500 0.500 0.500
Ru1 Ru 0.074 0.500 0.146